Arrangement P

# ZrAu3Cl | Alexandria | PBE | relaxed
# space-group type: Pm-3m
# size of the total moment: 1.509 μB/cell
# DOS(E_F): 0.9685 states/eV per atom
data_ZrAu3Cl
_chemical_formula_sum 'Zr1 Au3 Cl1'
_cell_length_a 4.866
_cell_length_b 4.866
_cell_length_c 4.866
_cell_angle_alpha 90.00
_cell_angle_beta 90.00
_cell_angle_gamma 90.00
_space_group_name_H-M_alt 'P 1'
_space_group_IT_number 1
loop_
_space_group_symop_operation_xyz
'x,y,z'
loop_
_atom_site_label
_atom_site_type_symbol
_atom_site_fract_x
_atom_site_fract_y
_atom_site_fract_z
Zr1 Zr 0.000 0.000 0.000
Au1 Au 0.000 0.500 0.500
Au2 Au 0.500 0.000 0.500
Au3 Au 0.500 0.500 0.000
Cl1 Cl 0.500 0.500 0.500

---

Arrangement Q

# ZrAu3Cl | Alexandria | PBE | relaxed
# space-group type: Pm-3m
# size of the total moment: 0.000 μB/cell
# DOS(E_F): 0.7450 states/eV per atom
data_ZrAu3Cl
_chemical_formula_sum 'Zr1 Au3 Cl1'
_cell_length_a 5.317
_cell_length_b 5.317
_cell_length_c 5.317
_cell_angle_alpha 90.00
_cell_angle_beta 90.00
_cell_angle_gamma 90.00
_space_group_name_H-M_alt 'P 1'
_space_group_IT_number 1
loop_
_space_group_symop_operation_xyz
'x,y,z'
loop_
_atom_site_label
_atom_site_type_symbol
_atom_site_fract_x
_atom_site_fract_y
_atom_site_fract_z
Zr1 Zr 0.000 0.000 0.000
Au1 Au 0.000 0.000 0.500
Au2 Au 0.000 0.500 0.000
Au3 Au 0.500 0.000 0.000
Cl1 Cl 0.500 0.500 0.500

---

Result of the stability comparison: arrangement P is the least stable of them.

---

Arrangement P

# Zr2AuCl | Alexandria | PBE | relaxed
# space-group type: Pmm2
# size of the total moment: 0.000 μB/cell
# DOS(E_F): 0.8892 states/eV per atom
data_Zr2AuCl
_chemical_formula_sum 'Zr2 Au1 Cl1'
_cell_length_a 3.416
_cell_length_b 3.854
_cell_length_c 6.322
_cell_angle_alpha 90.00
_cell_angle_beta 90.00
_cell_angle_gamma 90.00
_space_group_name_H-M_alt 'P 1'
_space_group_IT_number 1
loop_
_space_group_symop_operation_xyz
'x,y,z'
loop_
_atom_site_label
_atom_site_type_symbol
_atom_site_fract_x
_atom_site_fract_y
_atom_site_fract_z
Zr1 Zr 0.000 0.000 0.000
Zr2 Zr 0.500 0.500 0.326
Au1 Au 0.000 0.000 0.522
Cl1 Cl 0.500 0.500 0.901

---

Arrangement Q

# Zr2AuCl | Alexandria | PBE | relaxed
# space-group type: Fm-3m
# size of the total moment: 0.000 μB/cell
# DOS(E_F): 0.6967 states/eV per atom
data_Zr2AuCl
_chemical_formula_sum 'Zr2 Au1 Cl1'
_cell_length_a 4.818
_cell_length_b 4.818
_cell_length_c 4.818
_cell_angle_alpha 60.00
_cell_angle_beta 60.00
_cell_angle_gamma 60.00
_space_group_name_H-M_alt 'P 1'
_space_group_IT_number 1
loop_
_space_group_symop_operation_xyz
'x,y,z'
loop_
_atom_site_label
_atom_site_type_symbol
_atom_site_fract_x
_atom_site_fract_y
_atom_site_fract_z
Zr1 Zr 0.250 0.250 0.250
Zr2 Zr 0.750 0.750 0.750
Au1 Au 0.000 0.000 0.000
Cl1 Cl 0.500 0.500 0.500

---

Result of the stability comparison: arrangement Q is the least stable of them.

---

Arrangement P

# Zr2AuCl | Alexandria | PBE | relaxed
# space-group type: I-42d
# size of the total moment: 0.000 μB/cell
# DOS(E_F): 0.0244 states/eV per atom
data_Zr2AuCl
_chemical_formula_sum 'Zr4 Au2 Cl2'
_cell_length_a 8.467
_cell_length_b 8.467
_cell_length_c 8.467
_cell_angle_alpha 145.14
_cell_angle_beta 145.14
_cell_angle_gamma 50.12
_space_group_name_H-M_alt 'P 1'
_space_group_IT_number 1
loop_
_space_group_symop_operation_xyz
'x,y,z'
loop_
_atom_site_label
_atom_site_type_symbol
_atom_site_fract_x
_atom_site_fract_y
_atom_site_fract_z
Zr1 Zr 0.093 0.625 0.968
Zr2 Zr 0.375 0.343 0.468
Zr3 Zr 0.657 0.125 0.032
Zr4 Zr 0.875 0.907 0.532
Au1 Au 0.250 0.750 0.500
Au2 Au 0.500 0.500 0.000
Cl1 Cl 0.000 0.000 0.000
Cl2 Cl 0.750 0.250 0.500

---

Arrangement Q

# Zr2AuCl | Alexandria | PBE | relaxed
# space-group type: C2/m
# size of the total moment: 0.000 μB/cell
# DOS(E_F): 0.6405 states/eV per atom
data_Zr2AuCl
_chemical_formula_sum 'Zr2 Au1 Cl1'
_cell_length_a 4.253
_cell_length_b 4.253
_cell_length_c 6.604
_cell_angle_alpha 99.01
_cell_angle_beta 99.01
_cell_angle_gamma 43.56
_space_group_name_H-M_alt 'P 1'
_space_group_IT_number 1
loop_
_space_group_symop_operation_xyz
'x,y,z'
loop_
_atom_site_label
_atom_site_type_symbol
_atom_site_fract_x
_atom_site_fract_y
_atom_site_fract_z
Zr1 Zr 0.250 0.250 0.234
Zr2 Zr 0.750 0.750 0.766
Au1 Au 0.000 0.000 0.500
Cl1 Cl 0.500 0.500 0.000

---

Result of the stability comparison: arrangement P is the least stable of them.

---

Arrangement P

# Zr2AuCl | Alexandria | PBE | relaxed
# space-group type: I-4m2
# size of the total moment: 0.000 μB/cell
# DOS(E_F): 1.2645 states/eV per atom
data_Zr2AuCl
_chemical_formula_sum 'Zr2 Au1 Cl1'
_cell_length_a 6.137
_cell_length_b 6.137
_cell_length_c 6.137
_cell_angle_alpha 142.79
_cell_angle_beta 142.79
_cell_angle_gamma 53.65
_space_group_name_H-M_alt 'P 1'
_space_group_IT_number 1
loop_
_space_group_symop_operation_xyz
'x,y,z'
loop_
_atom_site_label
_atom_site_type_symbol
_atom_site_fract_x
_atom_site_fract_y
_atom_site_fract_z
Zr1 Zr 0.000 0.000 0.000
Zr2 Zr 0.750 0.250 0.500
Au1 Au 0.250 0.750 0.500
Cl1 Cl 0.500 0.500 0.000

---

Arrangement Q

# Zr2AuCl | Alexandria | PBE | relaxed
# space-group type: Pm
# size of the total moment: 0.000 μB/cell
# DOS(E_F): 0.7701 states/eV per atom
data_Zr2AuCl
_chemical_formula_sum 'Zr2 Au1 Cl1'
_cell_length_a 3.208
_cell_length_b 5.026
_cell_length_c 5.319
_cell_angle_alpha 90.00
_cell_angle_beta 106.69
_cell_angle_gamma 90.00
_space_group_name_H-M_alt 'P 1'
_space_group_IT_number 1
loop_
_space_group_symop_operation_xyz
'x,y,z'
loop_
_atom_site_label
_atom_site_type_symbol
_atom_site_fract_x
_atom_site_fract_y
_atom_site_fract_z
Zr1 Zr 0.000 0.000 0.000
Zr2 Zr 0.286 0.500 0.570
Au1 Au 0.570 0.500 0.118
Cl1 Cl 0.298 0.000 0.584

---

Result of the stability comparison: arrangement P is the least stable of them.

---

Arrangement P

# Zr2AuCl | Alexandria | PBE | relaxed
# space-group type: R3m
# size of the total moment: 0.000 μB/cell
# DOS(E_F): 0.2519 states/eV per atom
data_Zr2AuCl
_chemical_formula_sum 'Zr2 Au1 Cl1'
_cell_length_a 9.885
_cell_length_b 9.885
_cell_length_c 9.885
_cell_angle_alpha 19.77
_cell_angle_beta 19.77
_cell_angle_gamma 19.77
_space_group_name_H-M_alt 'P 1'
_space_group_IT_number 1
loop_
_space_group_symop_operation_xyz
'x,y,z'
loop_
_atom_site_label
_atom_site_type_symbol
_atom_site_fract_x
_atom_site_fract_y
_atom_site_fract_z
Zr1 Zr 0.000 0.000 0.000
Zr2 Zr 0.251 0.251 0.251
Au1 Au 0.513 0.513 0.513
Cl1 Cl 0.728 0.728 0.728

---

Arrangement Q

# Zr2AuCl | Alexandria | PBE | relaxed
# space-group type: P2/m
# size of the total moment: 0.000 μB/cell
# DOS(E_F): 0.8699 states/eV per atom
data_Zr2AuCl
_chemical_formula_sum 'Zr2 Au1 Cl1'
_cell_length_a 3.131
_cell_length_b 3.756
_cell_length_c 6.957
_cell_angle_alpha 90.00
_cell_angle_beta 90.11
_cell_angle_gamma 90.00
_space_group_name_H-M_alt 'P 1'
_space_group_IT_number 1
loop_
_space_group_symop_operation_xyz
'x,y,z'
loop_
_atom_site_label
_atom_site_type_symbol
_atom_site_fract_x
_atom_site_fract_y
_atom_site_fract_z
Zr1 Zr 0.001 0.000 0.246
Zr2 Zr 0.999 0.000 0.754
Au1 Au 0.500 0.500 0.000
Cl1 Cl 0.000 0.500 0.500

---

Result of the stability comparison: arrangement Q is the least stable of them.

---

Arrangement P

# Zr2AuCl | Alexandria | PBE | relaxed
# space-group type: Imm2
# size of the total moment: 0.000 μB/cell
# DOS(E_F): 0.5503 states/eV per atom
data_Zr2AuCl
_chemical_formula_sum 'Zr2 Au1 Cl1'
_cell_length_a 6.641
_cell_length_b 6.641
_cell_length_c 6.641
_cell_angle_alpha 151.75
_cell_angle_beta 141.58
_cell_angle_gamma 48.36
_space_group_name_H-M_alt 'P 1'
_space_group_IT_number 1
loop_
_space_group_symop_operation_xyz
'x,y,z'
loop_
_atom_site_label
_atom_site_type_symbol
_atom_site_fract_x
_atom_site_fract_y
_atom_site_fract_z
Zr1 Zr 0.000 0.000 0.000
Zr2 Zr 0.775 0.275 0.500
Au1 Au 0.342 0.842 0.500
Cl1 Cl 0.592 0.592 0.000

---

Arrangement Q

# Zr2AuCl | Alexandria | PBE | relaxed
# space-group type: P4mm
# size of the total moment: 0.000 μB/cell
# DOS(E_F): 0.6464 states/eV per atom
data_Zr2AuCl
_chemical_formula_sum 'Zr2 Au1 Cl1'
_cell_length_a 3.193
_cell_length_b 3.193
_cell_length_c 9.281
_cell_angle_alpha 90.00
_cell_angle_beta 90.00
_cell_angle_gamma 90.00
_space_group_name_H-M_alt 'P 1'
_space_group_IT_number 1
loop_
_space_group_symop_operation_xyz
'x,y,z'
loop_
_atom_site_label
_atom_site_type_symbol
_atom_site_fract_x
_atom_site_fract_y
_atom_site_fract_z
Zr1 Zr 0.000 0.000 0.000
Zr2 Zr 0.500 0.500 0.245
Au1 Au 0.000 0.000 0.446
Cl1 Cl 0.500 0.500 0.818

---

Arrangement R

# Zr2AuCl | Alexandria | PBE | relaxed
# space-group type: R-3m
# size of the total moment: 0.000 μB/cell
# DOS(E_F): 0.8122 states/eV per atom
data_Zr2AuCl
_chemical_formula_sum 'Zr2 Au1 Cl1'
_cell_length_a 9.266
_cell_length_b 9.266
_cell_length_c 9.266
_cell_angle_alpha 19.84
_cell_angle_beta 19.84
_cell_angle_gamma 19.84
_space_group_name_H-M_alt 'P 1'
_space_group_IT_number 1
loop_
_space_group_symop_operation_xyz
'x,y,z'
loop_
_atom_site_label
_atom_site_type_symbol
_atom_site_fract_x
_atom_site_fract_y
_atom_site_fract_z
Zr1 Zr 0.248 0.248 0.248
Zr2 Zr 0.752 0.752 0.752
Au1 Au 0.000 0.000 0.000
Cl1 Cl 0.500 0.500 0.500

---

Result of the stability comparison: arrangement P is the least stable of them.